Record 1
BaPmAlSe4: optimized geometry, PBE-GGA.

Summary:
For the raw formation energy, the calculation gives -154.8 kJ/mol of atoms. Its symmetry is No. 11. As for the crystal system: monoclinic.

Cell: 6.9101 7.0465 8.8338 Å, 90.00 107.55 90.00°
Last column: nearest neighbours and their distance in Å.
Sites, in units of the cell vectors:
1 Ba 0.7472 0.7500 0.9375  6 Se 3.18-3.46
2 Se 0.9924 0.4925 0.2743  1 Al 2.40
3 Al 0.2300 0.7500 0.3212  4 Se 2.36-2.40
4 Se 0.5624 0.2500 0.4122  1 Al 2.36
5 Se 0.0076 0.5075 0.7257  1 Al 2.40
6 Se 0.4249 0.7500 0.1410  1 Al 2.38
7 Ba 0.2528 0.2500 0.0625  6 Se 3.18-3.46
8 Se 0.0076 0.9925 0.7257  1 Al 2.40
9 Se 0.9924 0.0075 0.2743  1 Al 2.40
10 Se 0.4376 0.7500 0.5878  1 Al 2.36
11 Se 0.5751 0.2500 0.8590  1 Al 2.38
12 Pm 0.2262 0.2500 0.5539  6 Se 2.95-3.04
13 Al 0.7700 0.2500 0.6788  4 Se 2.36-2.40
14 Pm 0.7738 0.7500 0.4461  6 Se 2.95-3.04

---

Record 2
Ti3BeI: optimized geometry, PBE-GGA.

Summary:
For the raw formation energy, the calculation gives 132.7 kJ/mol of atoms. Its symmetry is No. 221. As for the crystal system: cubic.

Cell: 4.9447 4.9447 4.9447 Å, 90.00 90.00 90.00°
Last column: nearest neighbours and their distance in Å.
Sites, in units of the cell vectors:
1 Ti 0.0000 0.5000 0.0000  2 I 2.47
2 I 0.0000 0.0000 0.0000  6 Ti 2.47
3 Ti 0.5000 0.0000 0.0000  2 I 2.47
4 Be 0.5000 0.5000 0.5000  12 Ti 3.50
5 Ti 0.0000 0.0000 0.5000  2 I 2.47

---

Record 3
Ce2HoEr3P6: optimized geometry, PBE-GGA.

Summary:
Its calculated formation energy is -1.5766 eV/atom. Its symmetry is No. 12. As for the crystal system: monoclinic.

Cell: 6.9448 6.9448 6.9343 Å, 99.61 99.61 120.00°
Last column: nearest neighbours and their distance in Å.
Sites, in units of the cell vectors:
1 Er 0.8330 0.1670 0.5000  6 P 2.82-2.83
2 Ce 0.3335 0.6665 0.0000  6 P 2.85
3 P 0.4164 0.0843 0.2531  3 Er 2.82-2.83, 1 Ho 2.84, 2 Ce 2.85
4 P 0.7530 0.7530 0.2546  3 Er 2.82, 1 Ho 2.84, 2 Ce 2.85
5 Er 0.1670 0.8330 0.5000  6 P 2.82-2.83
6 Er 0.5000 0.5000 0.5000  6 P 2.82
7 P 0.5836 0.9157 0.7469  3 Er 2.82-2.83, 1 Ho 2.84, 2 Ce 2.85
8 Ce 0.6665 0.3335 0.0000  6 P 2.85
9 P 0.2470 0.2470 0.7454  3 Er 2.82, 1 Ho 2.84, 2 Ce 2.85
10 Ho 0.0000 0.0000 0.0000  6 P 2.84
11 P 0.9157 0.5836 0.7469  3 Er 2.82-2.83, 1 Ho 2.84, 2 Ce 2.85
12 P 0.0843 0.4164 0.2531  3 Er 2.82-2.83, 1 Ho 2.84, 2 Ce 2.85

---

Record 4
CsCoAg3: optimized geometry, PBE-GGA.

Summary:
Its calculated formation energy is 0.6161 eV/atom. Its symmetry is No. 221. As for the crystal system: cubic.

Cell: 5.1568 5.1568 5.1568 Å, 90.00 90.00 90.00°
Last column: nearest neighbours and their distance in Å.
Sites, in units of the cell vectors:
1 Ag 0.5000 0.0000 0.0000  2 Co 2.58
2 Ag 0.0000 0.5000 0.0000  2 Co 2.58
3 Cs 0.5000 0.5000 0.5000  12 Ag 3.65
4 Co 0.0000 0.0000 0.0000  6 Ag 2.58
5 Ag 0.0000 0.0000 0.5000  2 Co 2.58

---

Record 5
LaMg2InAg2: optimized geometry, PBE-GGA.

Summary:
Its calculated formation energy is 0.0737 eV/atom. Its symmetry is No. 123. As for the crystal system: tetragonal.

Cell: 5.1290 5.1290 6.2928 Å, 90.00 90.00 90.00°
Last column: nearest neighbours and their distance in Å.
Sites, in units of the cell vectors:
1 In 0.0000 0.0000 0.0000  4 Ag 2.56
2 La 0.0000 0.0000 0.5000  2 In 3.15
3 Ag 0.0000 0.5000 0.0000  2 In 2.56
4 Ag 0.5000 0.0000 0.0000  2 In 2.56
5 Mg 0.5000 0.5000 0.7434  4 Ag 3.03, 2 Mg 3.06-3.23
6 Mg 0.5000 0.5000 0.2566  4 Ag 3.03, 2 Mg 3.06-3.23

---

Record 6
K2ZrTe3O12: optimized geometry, PBE-GGA.

Summary:
For the raw formation energy, the calculation gives -151.3 kJ/mol of atoms. Its symmetry is No. 166. As for the crystal system: trigonal.

Cell: 7.4282 7.4282 7.4282 Å, 58.97 58.97 58.97°
Last column: nearest neighbours and their distance in Å.
Sites, in units of the cell vectors:
1 Te 0.0000 0.0000 0.5000  6 O 1.90-1.97
2 O 0.6785 0.0771 0.6785  2 Te 1.97
3 O 0.6634 0.0703 0.0703  1 Te 1.90, 1 Zr 2.09
4 O 0.9229 0.3215 0.3215  2 Te 1.97
5 O 0.3366 0.9297 0.9297  1 Te 1.90, 1 Zr 2.09
6 O 0.0703 0.0703 0.6634  1 Te 1.90, 1 Zr 2.09
7 Te 0.0000 0.5000 0.0000  6 O 1.90-1.97
8 Te 0.5000 0.0000 0.0000  6 O 1.90-1.97
9 O 0.3215 0.3215 0.9229  2 Te 1.97
10 O 0.0703 0.6634 0.0703  1 Te 1.90, 1 Zr 2.09
11 O 0.6785 0.6785 0.0771  2 Te 1.97
12 O 0.3215 0.9229 0.3215  2 Te 1.97
13 O 0.0771 0.6785 0.6785  2 Te 1.97
14 O 0.9297 0.9297 0.3366  1 Te 1.90, 1 Zr 2.09
15 Zr 0.0000 0.0000 0.0000  6 O 2.09
16 O 0.9297 0.3366 0.9297  1 Te 1.90, 1 Zr 2.09
17 K 0.6264 0.6264 0.6264  6 O 3.17-3.18
18 K 0.3736 0.3736 0.3736  6 O 3.17-3.18

---

Record 7
Nd3TeSe6: optimized geometry, PBE-GGA.

Summary:
For the raw formation energy, the calculation gives -128.6 kJ/mol of atoms. Its symmetry is No. 36. As for the crystal system: orthorhombic.

Cell: 7.1741 9.1677 9.1677 Å, 103.16 90.00 90.00°
Last column: nearest neighbours and their distance in Å.
Sites, in units of the cell vectors:
1 Se 0.6846 0.2987 0.3711  4 Nd 2.93-2.99
2 Nd 0.4953 0.2875 0.0858  7 Se 2.93-3.18
3 Se 0.1846 0.3711 0.2987  4 Nd 2.93-2.99
4 Se 0.7060 0.8962 0.4273  1 Te 2.88, 3 Nd 2.99-3.16
5 Se 0.2060 0.4273 0.8962  1 Te 2.88, 3 Nd 2.99-3.16
6 Nd 0.4953 0.9142 0.7125  7 Se 2.93-3.18
7 Te 0.9693 0.1668 0.8332  3 Se 2.65-2.88
8 Se 0.1846 0.7013 0.6289  4 Nd 2.93-2.99
9 Nd 0.9953 0.7125 0.9142  7 Se 2.93-3.18
10 Se 0.6254 0.2339 0.7661  1 Te 2.65
11 Se 0.6846 0.6289 0.7013  4 Nd 2.93-2.99
12 Nd 0.3793 0.4103 0.5897  7 Se 2.96-3.09
13 Se 0.1254 0.7661 0.2339  1 Te 2.65
14 Nd 0.8793 0.5897 0.4103  7 Se 2.96-3.09
15 Se 0.7060 0.5727 0.1038  1 Te 2.88, 3 Nd 2.99-3.16
16 Nd 0.9953 0.0858 0.2875  7 Se 2.93-3.18
17 Se 0.2060 0.1038 0.5727  1 Te 2.88, 3 Nd 2.99-3.16
18 Se 0.2396 0.0091 0.9909  2 Te 2.98-3.02, 4 Nd 3.10-3.18
19 Se 0.7396 0.9909 0.0091  2 Te 2.98-3.02, 4 Nd 3.10-3.18
20 Te 0.4693 0.8332 0.1668  3 Se 2.65-2.88

---

Record 8
La4AlSe2Br: optimized geometry, PBE-GGA.

Summary:
For the raw formation energy, the calculation gives -134.1 kJ/mol of atoms. Its symmetry is No. 10. As for the crystal system: monoclinic.

Cell: 4.2572 7.6657 7.6781 Å, 71.93 90.00 90.00°
Last column: nearest neighbours and their distance in Å.
Sites, in units of the cell vectors:
1 Se 0.5000 0.0000 0.5000  6 La 3.07-3.11
2 Br 0.0000 0.5000 0.5000  6 La 3.17-3.20
3 La 0.0000 0.2397 0.2499  3 Se 3.04-3.07, 2 Al 3.13, 1 Br 3.17
4 La 0.0000 0.7603 0.7501  3 Se 3.04-3.07, 2 Al 3.13, 1 Br 3.17
5 Se 0.0000 0.0000 0.0000  6 La 3.00-3.04
6 Al 0.5000 0.5000 0.0000  6 La 3.11-3.13
7 La 0.5000 0.2354 0.7649  3 Se 3.00-3.11, 1 Al 3.11, 2 Br 3.20
8 La 0.5000 0.7646 0.2351  3 Se 3.00-3.11, 1 Al 3.11, 2 Br 3.20

---

Record 9
La3Nd4Sm4: optimized geometry, PBE-GGA.

Summary:
Its calculated formation energy is 0.1554 eV/atom. Its symmetry is No. 12. As for the crystal system: monoclinic.

Cell: 3.6437 11.5206 11.2846 Å, 120.71 99.42 90.00°
Last column: nearest neighbours and their distance in Å.
Sites, in units of the cell vectors:
1 Nd 0.3317 0.5686 0.6613  4 Sm 3.28-3.63, 4 Nd 3.58-3.64
2 Nd 0.3315 0.0928 0.6614  4 Sm 3.28-3.63, 4 Nd 3.58-3.64
3 Sm 0.2243 0.7253 0.4505  6 Nd 3.46-3.63, 2 Sm 3.64, 2 La 3.74
4 La 0.1023 0.1033 0.2067  6 Sm 3.63-3.74, 3 La 3.64-3.94, 4 Nd 3.74-3.75
5 La 0.0000 0.5000 0.0000  2 La 3.64, 4 Sm 3.78
6 Sm 0.5001 0.2126 0.0000  2 Nd 3.28, 4 La 3.63-3.64, 2 Sm 3.64
7 Nd 0.6685 0.9072 0.3386  4 Sm 3.28-3.63, 4 Nd 3.58-3.64
8 Nd 0.6683 0.4314 0.3387  4 Sm 3.28-3.63, 4 Nd 3.58-3.64
9 Sm 0.7757 0.2747 0.5495  6 Nd 3.46-3.63, 2 Sm 3.64, 2 La 3.74
10 La 0.8977 0.8967 0.7933  6 Sm 3.63-3.74, 3 La 3.64-3.94, 4 Nd 3.74-3.75
11 Sm 0.4999 0.7874 0.0000  2 Nd 3.28, 4 La 3.63-3.64, 2 Sm 3.64

---

Record 10
As2PIr: optimized geometry, PBE-GGA.

Summary:
Its calculated formation energy is -0.0389 eV/atom. Its symmetry is No. 38. As for the crystal system: orthorhombic.

Cell: 4.1236 4.2559 4.2549 Å, 69.25 90.00 90.00°
Last column: nearest neighbours and their distance in Å.
Sites, in units of the cell vectors:
1 Ir 0.0000 0.5280 0.5281  2 P 2.44, 4 As 2.49-2.54
2 As 0.5000 0.3163 0.3163  3 P 2.52-2.79, 2 Ir 2.54
3 As 0.0000 0.9403 0.9405  2 Ir 2.49-2.50, 2 P 2.60
4 P 0.5000 0.7154 0.7151  2 Ir 2.44, 4 As 2.52-2.60

---

Record 11
AcZnNi: optimized geometry, PBE-GGA.

Summary:
Its calculated formation energy is -0.3151 eV/atom. Its symmetry is No. 187. As for the crystal system: hexagonal.

Cell: 4.1350 4.3798 4.3798 Å, 120.00 90.00 90.00°
Last column: nearest neighbours and their distance in Å.
Sites, in units of the cell vectors:
1 Ac 0.6666 0.3333 0.6667  6 Ni 3.27, 6 Zn 3.27
2 Zn 0.1666 0.0000 0.0000  3 Ni 2.53
3 Ni 0.1667 0.6667 0.3333  3 Zn 2.53

---

Record 12
Li2FeSiAs: optimized geometry, PBE-GGA.

Summary:
For the raw formation energy, the calculation gives 61.5 kJ/mol of atoms. Its symmetry is No. 123. As for the crystal system: tetragonal.

Cell: 4.3302 4.8122 4.3302 Å, 90.00 90.00 90.00°
Last column: nearest neighbours and their distance in Å.
Sites, in units of the cell vectors:
1 As 0.0000 0.0000 0.0000  4 Li 2.17, 2 Si 2.41
2 Fe 0.5000 0.5000 0.5000  4 Si 3.06, 8 Li 3.24
3 Li 0.0000 0.0000 0.5000  2 As 2.17
4 Si 0.0000 0.5000 0.0000  2 As 2.41
5 Li 0.5000 0.0000 0.0000  2 As 2.17

---

Record 13
Nd2Ga3Cu4Au: optimized geometry, PBE-GGA.

Summary:
Its calculated formation energy is -0.4056 eV/atom. Its symmetry is No. 115. As for the crystal system: tetragonal.

Cell: 4.2060 4.2060 10.4447 Å, 90.00 90.00 90.00°
Last column: nearest neighbours and their distance in Å.
Sites, in units of the cell vectors:
1 Ga 0.0000 0.0000 0.5000  4 Cu 2.59
2 Au 0.5000 0.5000 0.5000  4 Cu 2.59
3 Nd 0.5000 0.0000 0.2396  8 Cu 3.21-3.27, 6 Ga 3.21-3.44, 2 Au 3.44
4 Cu 0.5000 0.5000 0.0000  4 Ga 2.47
5 Ga 0.5000 0.0000 0.8762  5 Cu 2.42-2.47
6 Nd 0.0000 0.5000 0.7604  8 Cu 3.21-3.27, 6 Ga 3.21-3.44, 2 Au 3.44
7 Cu 0.5000 0.0000 0.6449  3 Ga 2.42-2.59, 2 Au 2.59
8 Cu 0.0000 0.0000 0.0000  4 Ga 2.47
9 Cu 0.0000 0.5000 0.3551  3 Ga 2.42-2.59, 2 Au 2.59
10 Ga 0.0000 0.5000 0.1238  5 Cu 2.42-2.47

---

E / eV per atom: -5.08, -4.42, -6.79, -2.69, -2.69, -5.99, -5.17, -5.40, -4.64, -5.93, -4.04, -3.84, -4.23